VASP calculation (GGA-PBE) on a geometry-optimized ZrBSe3 structure.

Fermi-level density of states: 2.275 states/eV per cell
Raw formation energy: 2.41 eV/f.u.
M_tot: 0.000 μB per formula unit
Volume: 28.4 Å³ per atom

Structure (CIF):
```
data_ZrBSe3
_chemical_formula_sum 'Zr1 B1 Se3'
_cell_length_a 5.219
_cell_length_b 5.219
_cell_length_c 5.219
_cell_angle_alpha 90.00
_cell_angle_beta 90.00
_cell_angle_gamma 90.00
_space_group_name_H-M_alt 'P m -3 m'
_space_group_IT_number 221
_space_group_name_Hall '-P 4 2 3'
loop_
_atom_site_label
_atom_site_type_symbol
_atom_site_fract_x
_atom_site_fract_y
_atom_site_fract_z
Zr1 Zr 0.000 0.000 0.000
B1 B 0.500 0.500 0.500
Se1 Se 0.000 0.000 0.500
```

VASP calculation (GGA-PBE) on a geometry-optimized K2CuW structure.

Fermi-level density of states: 12.832 states/eV per cell
ΔH_f (0 K): 1533 meV per atom
M_tot: 3.984 μB per formula unit
Volume: 44.7 Å³ per atom

Structure (CIF):
```
data_K2CuW
_chemical_formula_sum 'K8 Cu4 W4'
_cell_length_a 12.196
_cell_length_b 12.196
_cell_length_c 4.811
_cell_angle_alpha 90.00
_cell_angle_beta 90.00
_cell_angle_gamma 90.00
_space_group_name_H-M_alt 'I -4 2 d'
_space_group_IT_number 122
_space_group_name_Hall 'I -4 2bw'
loop_
_atom_site_label
_atom_site_type_symbol
_atom_site_fract_x
_atom_site_fract_y
_atom_site_fract_z
K1 K 0.079 0.250 0.125
Cu1 Cu 0.000 0.000 0.000
W1 W 0.000 0.000 0.500
```

VASP calculation (GGA-PBE) on a geometry-optimized Tb2In3Hg structure.

Fermi-level density of states: 24.117 states/eV per cell
ΔH_f (0 K): -414 meV per atom
M_tot: 0.000 μB per formula unit
Volume: 25.3 Å³ per atom

Structure (CIF):
```
data_Tb2In3Hg
_chemical_formula_sum 'Tb16 In24 Hg8'
_cell_length_a 7.171
_cell_length_b 9.914
_cell_length_c 17.113
_cell_angle_alpha 90.00
_cell_angle_beta 90.00
_cell_angle_gamma 90.00
_space_group_name_H-M_alt 'F m m m'
_space_group_IT_number 69
_space_group_name_Hall '-F 2 2'
loop_
_atom_site_label
_atom_site_type_symbol
_atom_site_fract_x
_atom_site_fract_y
_atom_site_fract_z
Tb1 Tb 0.247 0.000 0.000
Tb2 Tb 0.250 0.250 0.250
In1 In 0.000 0.000 0.332
In2 In 0.000 0.249 0.084
Hg1 Hg 0.000 0.000 0.166
```

VASP calculation (GGA-PBE) on a geometry-optimized LiCo2BAs structure.

Fermi-level density of states: 6.997 states/eV per cell
ΔH_f (0 K): -140 meV per atom
M_tot: 0.000 μB per formula unit
Volume: 11.0 Å³ per atom

Structure (CIF):
```
data_LiCo2BAs
_chemical_formula_sum 'Li2 Co4 B2 As2'
_cell_length_a 7.239
_cell_length_b 2.955
_cell_length_c 5.136
_cell_angle_alpha 90.00
_cell_angle_beta 90.30
_cell_angle_gamma 90.00
_space_group_name_H-M_alt 'C 1 m 1'
_space_group_IT_number 8
loop_
_space_group_symop_operation_xyz
'x,y,z'
'x,-y,z'
'x+1/2,y+1/2,z'
'x+1/2,-y+1/2,z'
loop_
_atom_site_label
_atom_site_type_symbol
_atom_site_fract_x
_atom_site_fract_y
_atom_site_fract_z
Li1 Li 0.000 0.000 0.000
Co1 Co 0.213 0.500 0.762
Co2 Co 0.496 0.500 0.481
B1 B 0.401 0.000 0.698
As1 As 0.212 0.500 0.259
```

VASP calculation (GGA-PBE) on a geometry-optimized Nd3Cd2Cu4 structure.

Fermi-level density of states: 15.639 states/eV per cell
ΔH_f (0 K): -194 meV per atom
M_tot: 0.000 μB per formula unit
Volume: 22.1 Å³ per atom

Structure (CIF):
```
data_Nd3Cd2Cu4
_chemical_formula_sum 'Nd6 Cd4 Cu8'
_cell_length_a 10.100
_cell_length_b 4.389
_cell_length_c 8.987
_cell_angle_alpha 90.00
_cell_angle_beta 93.75
_cell_angle_gamma 90.00
_space_group_name_H-M_alt 'C 1 2/m 1'
_space_group_IT_number 12
loop_
_space_group_symop_operation_xyz
'x,y,z'
'-x,-y,-z'
'-x,y,-z'
'x,-y,z'
'x+1/2,y+1/2,z'
'-x+1/2,-y+1/2,-z'
'-x+1/2,y+1/2,-z'
'x+1/2,-y+1/2,z'
loop_
_atom_site_label
_atom_site_type_symbol
_atom_site_fract_x
_atom_site_fract_y
_atom_site_fract_z
Nd1 Nd 0.000 0.000 0.000
Nd2 Nd 0.131 0.500 0.379
Cd1 Cd 0.173 0.500 0.773
Cu1 Cu 0.071 0.000 0.621
Cu2 Cu 0.217 0.500 0.070
```

VASP calculation (GGA-PBE) on a geometry-optimized CuSeO5 structure.

Raw formation energy: -2.99 eV/f.u.
M_tot: 1.032 μB per formula unit
Volume: 15.7 Å³ per atom

Structure (CIF):
```
data_CuSeO5
_chemical_formula_sum 'Cu4 Se4 O20'
_cell_length_a 5.876
_cell_length_b 6.908
_cell_length_c 10.838
_cell_angle_alpha 90.00
_cell_angle_beta 90.00
_cell_angle_gamma 90.00
_space_group_name_H-M_alt 'P 21 21 21'
_space_group_IT_number 19
loop_
_space_group_symop_operation_xyz
'x,y,z'
'-x+1/2,-y,z+1/2'
'x+1/2,-y+1/2,-z'
'-x,y+1/2,-z+1/2'
loop_
_atom_site_label
_atom_site_type_symbol
_atom_site_fract_x
_atom_site_fract_y
_atom_site_fract_z
Cu1 Cu 0.239 0.046 0.401
Se1 Se 0.111 0.192 0.132
O1 O 0.030 0.096 0.275
O2 O 0.091 0.710 0.897
O3 O 0.092 0.600 0.804
O4 O 0.096 0.976 0.048
O5 O 0.153 0.781 0.414
```

VASP calculation (GGA-PBE) on a geometry-optimized MnCrW2 structure.

Fermi-level density of states: 3.543 states/eV per cell
ΔH_f (0 K): 131 meV per atom
M_tot: 1.194 μB per formula unit
Volume: 14.0 Å³ per atom

Structure (CIF):
```
data_MnCrW2
_chemical_formula_sum 'Mn1 Cr1 W2'
_cell_length_a 3.056
_cell_length_b 3.056
_cell_length_c 6.002
_cell_angle_alpha 90.00
_cell_angle_beta 90.00
_cell_angle_gamma 90.00
_space_group_name_H-M_alt 'P 4 m m'
_space_group_IT_number 99
loop_
_space_group_symop_operation_xyz
'x,y,z'
'-y,x,z'
'-x,-y,z'
'y,-x,z'
'-x,y,z'
'y,x,z'
'x,-y,z'
'-y,-x,z'
loop_
_atom_site_label
_atom_site_type_symbol
_atom_site_fract_x
_atom_site_fract_y
_atom_site_fract_z
Mn1 Mn 0.000 0.000 0.000
Cr1 Cr 0.500 0.500 0.760
W1 W 0.000 0.000 0.522
W2 W 0.500 0.500 0.242
```

VASP calculation (GGA-PBE) on a geometry-optimized Cd2Ag8Hg structure.

Fermi-level density of states: 4.796 states/eV per cell
ΔH_f (0 K): 89 meV per atom
M_tot: 0.000 μB per formula unit
Volume: 19.9 Å³ per atom

Structure (CIF):
```
data_Cd2Ag8Hg
_chemical_formula_sum 'Cd4 Ag16 Hg2'
_cell_length_a 7.844
_cell_length_b 13.217
_cell_length_c 5.192
_cell_angle_alpha 90.00
_cell_angle_beta 125.45
_cell_angle_gamma 90.00
_space_group_name_H-M_alt 'C 1 2/m 1'
_space_group_IT_number 12
loop_
_space_group_symop_operation_xyz
'x,y,z'
'-x,-y,-z'
'-x,y,-z'
'x,-y,z'
'x+1/2,y+1/2,z'
'-x+1/2,-y+1/2,-z'
'-x+1/2,y+1/2,-z'
'x+1/2,-y+1/2,z'
loop_
_atom_site_label
_atom_site_type_symbol
_atom_site_fract_x
_atom_site_fract_y
_atom_site_fract_z
Cd1 Cd 0.000 0.193 0.000
Ag1 Ag 0.000 0.284 0.500
Ag2 Ag 0.084 0.000 0.319
Ag3 Ag 0.213 0.385 0.121
Hg1 Hg 0.000 0.500 0.500
```

VASP calculation (GGA-PBE) on a geometry-optimized YCr2Fe structure.

Fermi-level density of states: 17.679 states/eV per cell
ΔH_f (0 K): 773 meV per atom
M_tot: 0.036 μB per formula unit
Volume: 18.7 Å³ per atom

Structure (CIF):
```
data_YCr2Fe
_chemical_formula_sum 'Y4 Cr8 Fe4'
_cell_length_a 4.361
_cell_length_b 4.361
_cell_length_c 15.715
_cell_angle_alpha 90.00
_cell_angle_beta 90.00
_cell_angle_gamma 90.00
_space_group_name_H-M_alt 'I 41/a m d'
_space_group_IT_number 141
loop_
_space_group_symop_operation_xyz
'x,y,z'
'-x,-y,-z'
'-y+1/4,x+3/4,z+1/4'
'y+1/4,-x+3/4,-z+1/4'
'-x+1/2,-y,z+1/2'
'x+1/2,y,-z+1/2'
'y+1/4,-x+1/4,z+3/4'
'-y+1/4,x+1/4,-z+3/4'
'x,-y,-z'
'-x,y,z'
'-y+1/4,-x+1/4,-z+3/4'
'y+1/4,x+1/4,z+3/4'
'-x+1/2,y,-z+1/2'
'x+1/2,-y,z+1/2'
'y+1/4,x+3/4,-z+1/4'
'-y+1/4,-x+3/4,z+1/4'
'x+1/2,y+1/2,z+1/2'
'-x+1/2,-y+1/2,-z+1/2'
'-y+3/4,x+1/4,z+3/4'
'y+3/4,-x+1/4,-z+3/4'
'-x,-y+1/2,z'
'x,y+1/2,-z'
'y+3/4,-x+3/4,z+1/4'
'-y+3/4,x+3/4,-z+1/4'
'x+1/2,-y+1/2,-z+1/2'
'-x+1/2,y+1/2,z+1/2'
'-y+3/4,-x+3/4,-z+1/4'
'y+3/4,x+3/4,z+1/4'
'-x,y+1/2,-z'
'x,-y+1/2,z'
'y+3/4,x+1/4,-z+3/4'
'-y+3/4,-x+1/4,z+3/4'
loop_
_atom_site_label
_atom_site_type_symbol
_atom_site_fract_x
_atom_site_fract_y
_atom_site_fract_z
Y1 Y 0.000 0.250 0.375
Cr1 Cr 0.000 0.000 0.000
Fe1 Fe 0.000 0.250 0.875
```

VASP calculation (GGA-PBE) on a geometry-optimized Er2Zn2GePd5 structure.

Fermi-level density of states: 9.537 states/eV per cell
ΔH_f (0 K): -668 meV per atom
M_tot: 0.000 μB per formula unit
Volume: 17.4 Å³ per atom

Structure (CIF):
```
data_Er2Zn2GePd5
_chemical_formula_sum 'Er4 Zn4 Ge2 Pd10'
_cell_length_a 9.670
_cell_length_b 9.670
_cell_length_c 3.721
_cell_angle_alpha 90.00
_cell_angle_beta 90.00
_cell_angle_gamma 90.00
_space_group_name_H-M_alt 'P 4/m b m'
_space_group_IT_number 127
_space_group_name_Hall '-P 4 2ab'
loop_
_atom_site_label
_atom_site_type_symbol
_atom_site_fract_x
_atom_site_fract_y
_atom_site_fract_z
Er1 Er 0.176 0.324 0.000
Zn1 Zn 0.122 0.622 0.000
Ge1 Ge 0.000 0.000 0.000
Pd1 Pd 0.000 0.500 0.500
Pd2 Pd 0.066 0.798 0.500
```